The following is a PBE calculation of crystalline Li2NbZn at its relaxed geometry, from Alexandria.

Cell: 5.623 5.623 5.623 Å, 102.82 102.82 123.80°
Atoms (fractional coordinates):
1 Li 0.093 0.625 0.968
2 Li 0.375 0.343 0.468
3 Li 0.657 0.125 0.032
4 Li 0.875 0.907 0.532
5 Nb 0.250 0.750 0.500
6 Nb 0.500 0.500 0.000
7 Zn 0.000 0.000 0.000
8 Zn 0.750 0.250 0.500

Output
The density of states at the Fermi level comes out at 3.883 states/eV/f.u. Its volume is 16.29 Å³/atom. For the total magnetization, the calculation gives 0.001 Bohr magnetons per cell. The calculation puts the uncorrected energy at -3.2037 eV per atom. The crystal system is tetragonal. For the formation energy, the calculation gives 0.589 eV/atom.